Entry from Alexandria via LeMat-Bulk: Be2MoW at its PBEsol-relaxed geometry (meta-GGA SCAN).

Cell lengths 2.561, 4.002, 5.006 Å; angles 90.00, 90.00, 90.00 degrees
Space group Pmm2 (No. 25)
Inequivalent atoms, fractional coordinates:
Be  0.000  0.000  0.000 [1 per cell]
Be  0.500  0.500  0.254 [1 per cell]
Mo  0.000  0.000  0.492 [1 per cell]
W  0.500  0.500  0.762 [1 per cell]

Output
VASP energy: -111.714 eV/cell
size of the total moment: 0.0 μB per cell
energy relative to the lowest polymorph listed for this composition: 0.598 eV per atom

***

Entry from Alexandria via LeMat-Bulk: Be2MoW at its PBEsol-relaxed geometry (meta-GGA SCAN).

Cell lengths 2.645, 2.645, 6.828 Å; angles 90.00, 90.00, 90.00 degrees
Space group P4mm (No. 99)
Inequivalent atoms, fractional coordinates:
Be  0.000  0.000  0.000 [1 per cell]
Be  0.500  0.500  0.164 [1 per cell]
Mo  0.000  0.000  0.413 [1 per cell]
W  0.500  0.500  0.750 [1 per cell]

Output
VASP energy: -112.658 eV/cell
size of the total moment: 0.0 μB per cell
energy relative to the lowest polymorph listed for this composition: 0.362 eV per atom

***

Copy entry 1 word for word.
Entry from Alexandria via LeMat-Bulk: Be2MoW at its PBEsol-relaxed geometry (meta-GGA SCAN).

Cell lengths 2.561, 4.002, 5.006 Å; angles 90.00, 90.00, 90.00 degrees
Space group Pmm2 (No. 25)
Inequivalent atoms, fractional coordinates:
Be  0.000  0.000  0.000 [1 per cell]
Be  0.500  0.500  0.254 [1 per cell]
Mo  0.000  0.000  0.492 [1 per cell]
W  0.500  0.500  0.762 [1 per cell]

Output
VASP energy: -111.714 eV/cell
size of the total moment: 0.0 μB per cell
energy relative to the lowest polymorph listed for this composition: 0.598 eV per atom